Density functional theory data (GGA-PBE) for a relaxed TePtBr crystal.

Structure (CIF):
```
data_TePtBr
_chemical_formula_sum 'Te2 Pt2 Br2'
_cell_length_a 6.683
_cell_length_b 3.859
_cell_length_c 6.591
_cell_angle_alpha 90.00
_cell_angle_beta 90.12
_cell_angle_gamma 90.00
_space_group_name_H-M_alt 'C 1 m 1'
_space_group_IT_number 8
_space_group_name_Hall 'C -2y'
loop_
_atom_site_label
_atom_site_fract_x
_atom_site_fract_y
_atom_site_fract_z
Te1 0.000 0.000 0.000
Pt1 0.334 0.000 0.205
Br1 0.334 0.000 0.578
```

ΔE_f (raw)	-0.4	eV per formula unit

Density functional theory data (GGA-PBE) for a relaxed Te2PtBr crystal.

Structure (CIF):
```
data_Te2PtBr
_chemical_formula_sum 'Te4 Pt2 Br2'
_cell_length_a 5.608
_cell_length_b 4.034
_cell_length_c 10.113
_cell_angle_alpha 90.00
_cell_angle_beta 90.08
_cell_angle_gamma 90.00
_space_group_name_H-M_alt 'P 1 21/m 1'
_space_group_IT_number 11
_space_group_name_Hall '-P 2yb'
loop_
_atom_site_label
_atom_site_fract_x
_atom_site_fract_y
_atom_site_fract_z
Te1 0.249 0.250 0.210
Te2 0.250 0.250 0.563
Pt1 0.250 0.750 0.386
Br1 0.251 0.750 0.851
```

ΔE_f (raw)	-1.5	eV per formula unit

Density functional theory data (GGA-PBE) for a relaxed Te2PtBr crystal.

Structure (CIF):
```
data_Te2PtBr
_chemical_formula_sum 'Te2 Pt1 Br1'
_cell_length_a 3.6665
_cell_length_b 3.6665
_cell_length_c 9.7134
_cell_angle_alpha 90.00
_cell_angle_beta 90.00
_cell_angle_gamma 120.00
_space_group_name_H-M_alt 'P 3 m 1'
_space_group_IT_number 156
_space_group_name_Hall 'P 3 -2"'
loop_
_atom_site_label
_atom_site_fract_x
_atom_site_fract_y
_atom_site_fract_z
Te1 0.0000 0.0000 0.0000
Te2 0.3333 0.6667 0.5716
Pt1 0.0000 0.0000 0.7309
Br1 0.6667 0.3333 0.3409
```

ΔE_f (raw)	0.0	eV per formula unit

Density functional theory data (GGA-PBE) for a relaxed Te2PtBr crystal.

Structure (CIF):
```
data_Te2PtBr
_chemical_formula_sum 'Te2 Pt1 Br1'
_cell_length_a 3.332
_cell_length_b 3.332
_cell_length_c 9.667
_cell_angle_alpha 90.00
_cell_angle_beta 90.00
_cell_angle_gamma 90.00
_space_group_name_H-M_alt 'P 4 m m'
_space_group_IT_number 99
_space_group_name_Hall 'P 4 -2'
loop_
_atom_site_label
_atom_site_fract_x
_atom_site_fract_y
_atom_site_fract_z
Te1 0.000 0.000 0.000
Te2 0.500 0.500 0.289
Pt1 0.500 0.500 0.850
Br1 0.000 0.000 0.651
```

ΔE_f (raw)	0.9	eV per formula unit

Density functional theory data (GGA-PBE) for a relaxed TePtBr2 crystal.

Structure (CIF):
```
data_TePtBr2
_chemical_formula_sum 'Te4 Pt4 Br8'
_cell_length_a 7.179
_cell_length_b 7.179
_cell_length_c 7.179
_cell_angle_alpha 90.00
_cell_angle_beta 90.00
_cell_angle_gamma 90.00
_space_group_name_H-M_alt 'F m -3 m'
_space_group_IT_number 225
_space_group_name_Hall '-F 4 2 3'
loop_
_atom_site_label
_atom_site_fract_x
_atom_site_fract_y
_atom_site_fract_z
Te1 0.000 0.000 0.000
Pt1 0.000 0.000 0.500
Br1 0.250 0.250 0.250
```

ΔE_f (raw)	3.1	eV per formula unit

Density functional theory data (GGA-PBE) for a relaxed TePtBr2 crystal.

Structure (CIF):
```
data_TePtBr2
_chemical_formula_sum 'Te2 Pt2 Br4'
_cell_length_a 4.747
_cell_length_b 4.747
_cell_length_c 8.159
_cell_angle_alpha 90.00
_cell_angle_beta 90.00
_cell_angle_gamma 90.00
_space_group_name_H-M_alt 'I 4/m m m'
_space_group_IT_number 139
_space_group_name_Hall '-I 4 2'
loop_
_atom_site_label
_atom_site_fract_x
_atom_site_fract_y
_atom_site_fract_z
Te1 0.000 0.000 0.000
Pt1 0.000 0.000 0.500
Br1 0.000 0.500 0.250
```

ΔE_f (raw)	3.1	eV per formula unit

Density functional theory data (GGA-PBE) for a relaxed TePtBr2 crystal.

Structure (CIF):
```
data_TePtBr2
_chemical_formula_sum 'Te2 Pt2 Br4'
_cell_length_a 6.787
_cell_length_b 3.921
_cell_length_c 8.860
_cell_angle_alpha 90.00
_cell_angle_beta 104.86
_cell_angle_gamma 90.00
_space_group_name_H-M_alt 'C 1 m 1'
_space_group_IT_number 8
_space_group_name_Hall 'C -2y'
loop_
_atom_site_label
_atom_site_fract_x
_atom_site_fract_y
_atom_site_fract_z
Te1 0.000 0.000 0.000
Pt1 0.223 0.500 0.169
Br1 0.252 0.000 0.759
Br2 0.448 0.000 0.345
```

ΔE_f (raw)	-1.4	eV per formula unit

Density functional theory data (GGA-PBE) for a relaxed TePtBr4 crystal.

Structure (CIF):
```
data_TePtBr4
_chemical_formula_sum 'Te4 Pt4 Br16'
_cell_length_a 8.578
_cell_length_b 8.578
_cell_length_c 8.578
_cell_angle_alpha 90.00
_cell_angle_beta 90.00
_cell_angle_gamma 90.00
_space_group_name_H-M_alt 'F -4 3 m'
_space_group_IT_number 216
_space_group_name_Hall 'F -4 2 3'
loop_
_atom_site_label
_atom_site_fract_x
_atom_site_fract_y
_atom_site_fract_z
Te1 0.000 0.000 0.000
Pt1 0.250 0.250 0.250
Br1 0.124 0.124 0.624
```

ΔE_f (raw)	6.9	eV per formula unit

Density functional theory data (GGA-PBE) for a relaxed TePtBr2 crystal.

Structure (CIF):
```
data_TePtBr2
_chemical_formula_sum 'Te1 Pt1 Br2'
_cell_length_a 3.270
_cell_length_b 4.116
_cell_length_c 6.847
_cell_angle_alpha 90.00
_cell_angle_beta 90.00
_cell_angle_gamma 90.00
_space_group_name_H-M_alt 'P m m m'
_space_group_IT_number 47
_space_group_name_Hall '-P 2 2'
loop_
_atom_site_label
_atom_site_fract_x
_atom_site_fract_y
_atom_site_fract_z
Te1 0.000 0.000 0.000
Pt1 0.000 0.000 0.500
Br1 0.500 0.500 0.270
```

ΔE_f (raw)	2.9	eV per formula unit

Density functional theory data (GGA-PBE) for a relaxed Te2PtBr crystal.

Structure (CIF):
```
data_Te2PtBr
_chemical_formula_sum 'Te32 Pt16 Br16'
_cell_length_a 12.426
_cell_length_b 11.645
_cell_length_c 15.007
_cell_angle_alpha 90.00
_cell_angle_beta 105.05
_cell_angle_gamma 90.00
_space_group_name_H-M_alt 'C 1 2/c 1'
_space_group_IT_number 15
_space_group_name_Hall '-C 2yc'
loop_
_atom_site_label
_atom_site_fract_x
_atom_site_fract_y
_atom_site_fract_z
Te1 0.000 0.050 0.250
Te2 0.000 0.321 0.750
Te3 0.053 0.351 0.384
Te4 0.192 0.068 0.157
Te5 0.233 0.130 0.802
Pt1 0.109 0.484 0.251
Pt2 0.125 0.240 0.253
Br1 0.081 0.273 0.938
Br2 0.237 0.412 0.518
```

ΔE_f (raw)	-0.7	eV per formula unit

Density functional theory data (GGA-PBE) for a relaxed Te2PtBr crystal.

Structure (CIF):
```
data_Te2PtBr
_chemical_formula_sum 'Te2 Pt1 Br1'
_cell_length_a 4.710
_cell_length_b 5.071
_cell_length_c 5.791
_cell_angle_alpha 90.00
_cell_angle_beta 110.84
_cell_angle_gamma 90.00
_space_group_name_H-M_alt 'P 1 m 1'
_space_group_IT_number 6
_space_group_name_Hall 'P -2y'
loop_
_atom_site_label
_atom_site_fract_x
_atom_site_fract_y
_atom_site_fract_z
Te1 0.000 0.000 0.000
Te2 0.413 0.500 0.157
Pt1 0.805 0.500 0.947
Br1 0.024 0.000 0.514
```

ΔE_f (raw)	0.1	eV per formula unit

Density functional theory data (GGA-PBE) for a relaxed Te2PtBr crystal.

Structure (CIF):
```
data_Te2PtBr
_chemical_formula_sum 'Te8 Pt4 Br4'
_cell_length_a 8.253
_cell_length_b 8.253
_cell_length_c 6.791
_cell_angle_alpha 90.00
_cell_angle_beta 90.00
_cell_angle_gamma 90.00
_space_group_name_H-M_alt 'I 4/m c m'
_space_group_IT_number 140
_space_group_name_Hall '-I 4 2c'
loop_
_atom_site_label
_atom_site_fract_x
_atom_site_fract_y
_atom_site_fract_z
Te1 0.166 0.334 0.000
Pt1 0.000 0.500 0.250
Br1 0.000 0.000 0.250
```

ΔE_f (raw)	0.3	eV per formula unit

Q: Among the records above, which one has the highest ΔE_f (raw)?
A: TePtBr4

Repeat the second record exactly.
Density functional theory data (GGA-PBE) for a relaxed Te2PtBr crystal.

Structure (CIF):
```
data_Te2PtBr
_chemical_formula_sum 'Te4 Pt2 Br2'
_cell_length_a 5.608
_cell_length_b 4.034
_cell_length_c 10.113
_cell_angle_alpha 90.00
_cell_angle_beta 90.08
_cell_angle_gamma 90.00
_space_group_name_H-M_alt 'P 1 21/m 1'
_space_group_IT_number 11
_space_group_name_Hall '-P 2yb'
loop_
_atom_site_label
_atom_site_fract_x
_atom_site_fract_y
_atom_site_fract_z
Te1 0.249 0.250 0.210
Te2 0.250 0.250 0.563
Pt1 0.250 0.750 0.386
Br1 0.251 0.750 0.851
```

ΔE_f (raw)	-1.5	eV per formula unit

Q: Which formula does entry 1 have?
A: TePtBr

Please write out number 9 again, unchanged.
Density functional theory data (GGA-PBE) for a relaxed TePtBr2 crystal.

Structure (CIF):
```
data_TePtBr2
_chemical_formula_sum 'Te1 Pt1 Br2'
_cell_length_a 3.270
_cell_length_b 4.116
_cell_length_c 6.847
_cell_angle_alpha 90.00
_cell_angle_beta 90.00
_cell_angle_gamma 90.00
_space_group_name_H-M_alt 'P m m m'
_space_group_IT_number 47
_space_group_name_Hall '-P 2 2'
loop_
_atom_site_label
_atom_site_fract_x
_atom_site_fract_y
_atom_site_fract_z
Te1 0.000 0.000 0.000
Pt1 0.000 0.000 0.500
Br1 0.500 0.500 0.270
```

ΔE_f (raw)	2.9	eV per formula unit